[1]
Material: AcP2Ru
Method: DFT, PBE
State: relaxed

Results
SG: I-4m2, No. 119
Energy above the most stable polymorph in this dataset in meV per atom: 111.5
ΔH_f (0 K) in meV/atom: -777

Unit cell a=4.096 b=4.096 c=10.493 alpha=90.00 beta=90.00 gamma=90.00
Atoms (fractional coordinates):
Ac 0.000 0.000 0.000
Ac 0.500 0.500 0.500
P 0.000 0.000 0.350
P 0.000 0.000 0.650
P 0.500 0.500 0.150
P 0.500 0.500 0.850
Ru 0.000 0.500 0.750
Ru 0.500 0.000 0.250

[2]
Material: AcP2Ru2
Method: DFT, PBE
State: relaxed

Results
SG: I4/mmm, No. 139
ΔH_f (0 K) in meV/atom: -1005

Unit cell a=4.066 b=4.066 c=11.411 alpha=90.00 beta=90.00 gamma=90.00
Atoms (fractional coordinates):
Ac 0.000 0.000 0.000
Ac 0.500 0.500 0.500
P 0.000 0.000 0.352
P 0.000 0.000 0.648
P 0.500 0.500 0.148
P 0.500 0.500 0.852
Ru 0.000 0.500 0.250
Ru 0.000 0.500 0.750
Ru 0.500 0.000 0.250
Ru 0.500 0.000 0.750

[3]
Material: Ac12P3Ru5
Method: DFT, PBE
State: relaxed

Results
SG: Ia-3d, No. 230
ΔH_f (0 K) in meV/atom: -259

Unit cell a=15.325 b=15.325 c=15.325 alpha=109.47 beta=109.47 gamma=109.47
Atoms (fractional coordinates):
Ac 0.035 0.212 0.129
Ac 0.035 0.323 0.906
Ac 0.083 0.712 0.677
Ac 0.083 0.871 0.406
Ac 0.094 0.629 0.417
Ac 0.094 0.965 0.677
Ac 0.129 0.035 0.212
Ac 0.129 0.594 0.917
Ac 0.177 0.212 0.583
Ac 0.177 0.465 0.594
Ac 0.212 0.129 0.035
Ac 0.212 0.583 0.177
Ac 0.288 0.323 0.917
Ac 0.288 0.465 0.371
Ac 0.323 0.906 0.035
Ac 0.323 0.917 0.288
Ac 0.371 0.288 0.465
Ac 0.371 0.583 0.906
Ac 0.406 0.083 0.871
Ac 0.406 0.823 0.535
Ac 0.417 0.094 0.629
Ac 0.417 0.823 0.788
Ac 0.465 0.371 0.288
Ac 0.465 0.594 0.177
Ac 0.535 0.406 0.823
Ac 0.535 0.629 0.712
Ac 0.583 0.177 0.212
Ac 0.583 0.906 0.371
Ac 0.594 0.177 0.465
Ac 0.594 0.917 0.129
Ac 0.629 0.417 0.094
Ac 0.629 0.712 0.535
Ac 0.677 0.083 0.712
Ac 0.677 0.094 0.965
Ac 0.712 0.535 0.629
Ac 0.712 0.677 0.083
Ac 0.788 0.417 0.823
Ac 0.788 0.871 0.965
Ac 0.823 0.535 0.406
Ac 0.823 0.788 0.417
Ac 0.871 0.406 0.083
Ac 0.871 0.965 0.788
Ac 0.906 0.035 0.323
Ac 0.906 0.371 0.583
Ac 0.917 0.129 0.594
Ac 0.917 0.288 0.323
Ac 0.965 0.677 0.094
Ac 0.965 0.788 0.871
P 0.125 0.250 0.375
P 0.125 0.375 0.750
P 0.250 0.375 0.125
P 0.250 0.875 0.625
P 0.375 0.125 0.250
P 0.375 0.750 0.125
P 0.625 0.250 0.875
P 0.625 0.875 0.750
P 0.750 0.125 0.375
P 0.750 0.625 0.875
P 0.875 0.625 0.250
P 0.875 0.750 0.625
Ru 0.000 0.000 0.000
Ru 0.000 0.000 0.500
Ru 0.000 0.500 0.000
Ru 0.000 0.500 0.500
Ru 0.125 0.750 0.875
Ru 0.125 0.875 0.250
Ru 0.250 0.125 0.875
Ru 0.250 0.625 0.375
Ru 0.375 0.250 0.625
Ru 0.375 0.625 0.750
Ru 0.500 0.000 0.000
Ru 0.500 0.000 0.500
Ru 0.500 0.500 0.000
Ru 0.500 0.500 0.500
Ru 0.625 0.375 0.250
Ru 0.625 0.750 0.375
Ru 0.750 0.375 0.625
Ru 0.750 0.875 0.125
Ru 0.875 0.125 0.750
Ru 0.875 0.250 0.125

[4]
Material: AcTaP2Ru
Method: DFT, PBE
State: relaxed

Results
SG: I-4m2, No. 119
ΔH_f (0 K) in meV/atom: -847

Unit cell a=3.955 b=3.955 c=12.780 alpha=90.00 beta=90.00 gamma=90.00
Atoms (fractional coordinates):
Ac 0.000 0.000 0.000
Ac 0.500 0.500 0.500
Ta 0.000 0.500 0.750
Ta 0.500 0.000 0.250
P 0.000 0.000 0.368
P 0.000 0.000 0.632
P 0.500 0.500 0.132
P 0.500 0.500 0.868
Ru 0.000 0.500 0.250
Ru 0.500 0.000 0.750

[5]
Material: Ac8Te4P3Ru
Method: DFT, PBE
State: relaxed

Results
E_form (uncorrected) in eV per atom: -1.35
SG: R-3m, No. 166

Unit cell a=9.332 b=9.332 c=9.332 alpha=57.90 beta=57.90 gamma=57.90
Atoms (fractional coordinates):
Ac 0.239 0.239 0.239
Ac 0.247 0.733 0.733
Ac 0.267 0.267 0.753
Ac 0.267 0.753 0.267
Ac 0.733 0.247 0.733
Ac 0.733 0.733 0.247
Ac 0.753 0.267 0.267
Ac 0.761 0.761 0.761
Te 0.000 0.000 0.000
Te 0.000 0.500 0.500
Te 0.500 0.000 0.500
Te 0.500 0.500 0.000
P 0.000 0.000 0.500
P 0.000 0.500 0.000
P 0.500 0.000 0.000
Ru 0.500 0.500 0.500

[6]
Material: AcTiP2Ru
Method: DFT, PBE
State: relaxed

Results
SG: I-4m2, No. 119
ΔH_f (0 K) in meV/atom: -1059

Unit cell a=3.966 b=3.966 c=12.348 alpha=90.00 beta=90.00 gamma=90.00
Atoms (fractional coordinates):
Ac 0.000 0.000 0.000
Ac 0.500 0.500 0.500
Ti 0.000 0.500 0.750
Ti 0.500 0.000 0.250
P 0.000 0.000 0.365
P 0.000 0.000 0.635
P 0.500 0.500 0.135
P 0.500 0.500 0.865
Ru 0.000 0.500 0.250
Ru 0.500 0.000 0.750

[7]
Material: AcVP2Ru
Method: DFT, PBE
State: relaxed

Results
SG: I-4m2, No. 119
ΔH_f (0 K) in meV/atom: -921

Unit cell a=4.017 b=4.017 c=11.732 alpha=90.00 beta=90.00 gamma=90.00
Atoms (fractional coordinates):
Ac 0.000 0.000 0.000
Ac 0.500 0.500 0.500
V 0.000 0.500 0.250
V 0.500 0.000 0.750
P 0.000 0.000 0.357
P 0.000 0.000 0.643
P 0.500 0.500 0.143
P 0.500 0.500 0.857
Ru 0.000 0.500 0.750
Ru 0.500 0.000 0.250

[8]
Material: AcZn2PRu2
Method: DFT, PBE
State: relaxed

Results
SG: P4/mmm, No. 123
ΔH_f (0 K) in meV/atom: -416

Unit cell a=4.416 b=4.416 c=5.992 alpha=90.00 beta=90.00 gamma=90.00
Atoms (fractional coordinates):
Ac 0.000 0.000 0.000
Zn 0.500 0.500 0.230
Zn 0.500 0.500 0.770
P 0.000 0.000 0.500
Ru 0.000 0.500 0.500
Ru 0.500 0.000 0.500

[9]
Material: Ac4P2S
Method: DFT, PBE
State: relaxed

Results
E_form (uncorrected) in eV per atom: -1.35
SG: C2/m, No. 12

Unit cell a=16.500 b=4.291 c=7.479 alpha=90.00 beta=116.68 gamma=90.00
Atoms (fractional coordinates):
Ac 0.129 0.000 0.291
Ac 0.130 0.500 0.804
Ac 0.370 0.000 0.196
Ac 0.371 0.500 0.709
Ac 0.629 0.500 0.291
Ac 0.630 0.000 0.804
Ac 0.870 0.500 0.196
Ac 0.871 0.000 0.709
P 0.246 0.000 0.744
P 0.254 0.500 0.256
P 0.746 0.500 0.744
P 0.754 0.000 0.256
S 0.000 0.500 0.000
S 0.500 0.000 0.000

[10]
Material: Ac4PS2
Method: DFT, PBE
State: relaxed

Results
E_form (uncorrected) in eV per atom: -1.47
SG: C2/m, No. 12

Unit cell a=16.362 b=4.287 c=7.408 alpha=90.00 beta=116.85 gamma=90.00
Atoms (fractional coordinates):
Ac 0.125 0.000 0.285
Ac 0.127 0.500 0.800
Ac 0.373 0.000 0.200
Ac 0.375 0.500 0.715
Ac 0.625 0.500 0.285
Ac 0.627 0.000 0.800
Ac 0.873 0.500 0.200
Ac 0.875 0.000 0.715
P 0.000 0.500 0.000
P 0.500 0.000 0.000
S 0.246 0.000 0.743
S 0.254 0.500 0.257
S 0.746 0.500 0.743
S 0.754 0.000 0.257

[11]
Material: Ac3PS
Method: DFT, PBE
State: relaxed

Results
E_form (uncorrected) in eV per atom: -1.10
SG: P-6, No. 174

Unit cell a=7.173 b=7.173 c=3.995 alpha=90.00 beta=90.00 gamma=120.00
Atoms (fractional coordinates):
Ac 0.018 0.681 0.000
Ac 0.319 0.337 0.000
Ac 0.663 0.982 0.000
P 0.333 0.667 0.500
S 0.000 0.000 0.500

[12]
Material: AcP2S6
Method: DFT, PBE
State: relaxed

Results
E_form (uncorrected) in eV per atom: -0.66
SG: R3, No. 146

Unit cell a=8.266 b=8.266 c=8.266 alpha=46.62 beta=46.62 gamma=46.62
Atoms (fractional coordinates):
Ac 0.000 0.000 0.000
P 0.252 0.252 0.252
P 0.353 0.353 0.353
S 0.035 0.492 0.597
S 0.044 0.560 0.060
S 0.060 0.044 0.560
S 0.492 0.597 0.035
S 0.560 0.060 0.044
S 0.597 0.035 0.492

Computed values of E_tot (unit: eV per atom) for the preceding records, in sequence: -6.83; -7.70; -5.85; -8.06; -5.79; -7.48; -7.59; -5.52; -5.83; -5.77; -5.47; -5.07.